KNpSeO2 | Alexandria via LeMat-Bulk | PBE | relaxed; symmetry = No. 99
1.0
4.275 0.000 0.000
0.000 4.275 0.000
0.000 0.000 5.670
K Np Se O
1 1 1 2
Direct
0.000 0.000 0.000
0.500 0.500 0.390
0.500 0.500 0.881
0.000 0.500 0.367
0.500 0.000 0.367

K3Np3Si2O13 | Alexandria via LeMat-Bulk | PBE | relaxed; symmetry = No. 143
1.0
9.795 0.000 0.000
-4.898 8.483 0.000
0.000 0.000 3.959
K Np Si O
3 3 2 13
Direct
0.005 0.780 0.000
0.220 0.226 0.000
0.774 0.995 0.000
0.422 0.020 0.498
0.598 0.578 0.498
0.980 0.402 0.498
0.333 0.667 0.000
0.667 0.333 0.938
0.009 0.604 0.500
0.175 0.499 0.000
0.231 0.021 0.498
0.324 0.825 0.000
0.396 0.405 0.500
0.498 0.166 0.004
0.501 0.676 0.000
0.595 0.991 0.500
0.667 0.333 0.515
0.668 0.502 0.004
0.790 0.769 0.498
0.834 0.332 0.004
0.979 0.210 0.498

K2NpSiO6 | Alexandria via LeMat-Bulk | PBE | relaxed; symmetry = No. 225
1.0
0.000 3.948 3.948
3.948 0.000 3.948
3.948 3.948 0.000
K Np Si O
2 1 1 6
Direct
0.250 0.250 0.250
0.750 0.750 0.750
0.000 0.000 0.000
0.500 0.500 0.500
0.267 0.267 0.733
0.267 0.733 0.267
0.267 0.733 0.733
0.733 0.267 0.267
0.733 0.267 0.733
0.733 0.733 0.267

K3NpSi2O8 | Alexandria via LeMat-Bulk | PBE | relaxed; symmetry = No. 164
1.0
5.698 0.000 0.000
-2.849 4.935 0.000
0.000 0.000 8.164
K Np Si O
3 1 2 8
Direct
0.000 0.000 0.000
0.333 0.667 0.766
0.667 0.333 0.234
0.000 0.000 0.500
0.333 0.667 0.270
0.667 0.333 0.730
0.176 0.352 0.345
0.176 0.824 0.345
0.333 0.667 0.075
0.352 0.176 0.655
0.648 0.824 0.345
0.667 0.333 0.925
0.824 0.176 0.655
0.824 0.648 0.655

KNpSiO5 | Alexandria via LeMat-Bulk | PBE | relaxed; symmetry = No. 15
1.0
3.626 -4.745 0.000
3.626 4.745 0.000
-3.396 0.000 7.153
K Np Si O
2 2 2 10
Direct
0.165 0.835 0.750
0.835 0.165 0.250
0.500 0.500 0.000
0.500 0.500 0.500
0.187 0.813 0.250
0.813 0.187 0.750
0.106 0.269 0.886
0.208 0.631 0.377
0.269 0.106 0.386
0.369 0.792 0.123
0.436 0.564 0.750
0.564 0.436 0.250
0.631 0.208 0.877
0.731 0.894 0.614
0.792 0.369 0.623
0.894 0.731 0.114

K2SmNpO4 | Alexandria via LeMat-Bulk | PBE | relaxed; symmetry = No. 10
1.0
6.181 0.000 0.000
0.000 3.576 0.000
-2.080 0.000 6.306
K Sm Np O
2 1 1 4
Direct
0.000 0.000 0.000
0.500 0.500 0.000
0.000 0.500 0.500
0.500 0.000 0.500
0.234 0.000 0.690
0.277 0.500 0.312
0.723 0.500 0.688
0.766 0.000 0.310

no.,total magnetization (μB/f.u.),E_form (uncorrected) (meV/atom)
1,2.0,-2105
2,6.0,-2589
3,1.0,-2398
4,2.0,-2523
5,2.0,-2699
6,4.0,-2425